Material: Be2VHRh
Method: DFT, PBE-GGA
State: optimized geometry Values from VASP.

Calculated values
Fermi-level density of states, states/eV/cell: 3.46
Calculated total energy, eV/atom: -5.559

Structure (Quantum ESPRESSO input):
```
&SYSTEM
  ibrav = 0, nat = 5, ntyp = 4
/
ATOMIC_SPECIES
Be 9.01 Be.upf
H 1.01 H.upf
V 50.94 V.upf
Rh 102.91 Rh.upf
CELL_PARAMETERS angstrom
3.666 0.000 0.000
0.000 3.666 0.000
0.000 0.000 3.479
ATOMIC_POSITIONS crystal
Be 0.500 0.000 0.000
Be 0.000 0.500 0.000
H 0.000 0.000 0.000
V 0.000 0.000 0.500
Rh 0.500 0.500 0.500
```